# 1
VASP calculation (GGA-PBE) on a geometry-optimized Mo2PbW structure.

The energy relative to the elements comes out at 0.527 eV/atom. The value obtained for the total magnetization is 0.000 μB per cell. For the total energy, the calculation gives -9.05 eV/atom. The calculated volume comes out at 145.9 Å³/cell.

Structure (CIF):
```
data_Mo2PbW
_chemical_formula_sum 'Mo4 Pb2 W2'
_space_group_name_H-M_alt 'C m m m'
_space_group_IT_number 65
_space_group_name_Hall '-C 2 2'
_cell_length_a 3.3317
_cell_length_b 4.7857
_cell_length_c 9.1497
_cell_angle_alpha 90.00
_cell_angle_beta 90.00
_cell_angle_gamma 90.00
loop_
_atom_site_label
_atom_site_type_symbol
_atom_site_fract_x
_atom_site_fract_y
_atom_site_fract_z
_atom_site_occupancy
Mo1 Mo 0.0000 0.0000 0.2278 1
Pb1 Pb 0.0000 0.5000 0.5000 1
W1 W 0.0000 0.5000 0.0000 1
```


# 2
VASP calculation (GGA-PBE) on a geometry-optimized MoPbW2 structure.

The energy relative to the elements comes out at 0.855 eV/atom. The value obtained for the total magnetization is 0.000 μB per cell. For the total energy, the calculation gives -9.26 eV/atom. The calculated volume comes out at 70.6 Å³/cell.

Structure (CIF):
```
data_MoPbW2
_chemical_formula_sum 'Mo1 Pb1 W2'
_space_group_name_H-M_alt 'P 4/m m m'
_space_group_IT_number 123
_space_group_name_Hall '-P 4 2'
_cell_length_a 4.0413
_cell_length_b 4.0413
_cell_length_c 4.3232
_cell_angle_alpha 90.00
_cell_angle_beta 90.00
_cell_angle_gamma 90.00
loop_
_atom_site_label
_atom_site_type_symbol
_atom_site_fract_x
_atom_site_fract_y
_atom_site_fract_z
_atom_site_occupancy
Mo1 Mo 0.0000 0.0000 0.0000 1
Pb1 Pb 0.5000 0.5000 0.0000 1
W1 W 0.0000 0.5000 0.5000 1
```


# 3
VASP calculation (GGA-PBE) on a geometry-optimized MoPbW2 structure.

The energy relative to the elements comes out at 1.304 eV/atom. The value obtained for the total magnetization is 0.001 μB per cell. For the total energy, the calculation gives -8.81 eV/atom. The calculated volume comes out at 307.9 Å³/cell.

Structure (CIF):
```
data_MoPbW2
_chemical_formula_sum 'Mo4 Pb4 W8'
_space_group_name_H-M_alt 'I -4 2 d'
_space_group_IT_number 122
_space_group_name_Hall 'I -4 2bw'
_cell_length_a 3.9301
_cell_length_b 3.9301
_cell_length_c 19.9339
_cell_angle_alpha 90.00
_cell_angle_beta 90.00
_cell_angle_gamma 90.00
loop_
_atom_site_label
_atom_site_type_symbol
_atom_site_fract_x
_atom_site_fract_y
_atom_site_fract_z
_atom_site_occupancy
Mo1 Mo 0.0000 0.0000 0.0000 1
Pb1 Pb 0.0000 0.0000 0.5000 1
W1 W 0.2340 0.2500 0.1250 1
```


# 4
VASP calculation (GGA-PBE) on a geometry-optimized MoPbW2 structure.

The energy relative to the elements comes out at 0.658 eV/atom. The value obtained for the total magnetization is 0.000 μB per cell. For the total energy, the calculation gives -9.45 eV/atom. The calculated volume comes out at 140.7 Å³/cell.

Structure (CIF):
```
data_MoPbW2
_chemical_formula_sum 'Mo2 Pb2 W4'
_space_group_name_H-M_alt 'I m m m'
_space_group_IT_number 71
_space_group_name_Hall '-I 2 2'
_cell_length_a 3.3215
_cell_length_b 4.5175
_cell_length_c 9.3786
_cell_angle_alpha 90.00
_cell_angle_beta 90.00
_cell_angle_gamma 90.00
loop_
_atom_site_label
_atom_site_type_symbol
_atom_site_fract_x
_atom_site_fract_y
_atom_site_fract_z
_atom_site_occupancy
Mo1 Mo 0.0000 0.0000 0.0000 1
Pb1 Pb 0.0000 0.0000 0.5000 1
W1 W 0.0000 0.5000 0.2609 1
```


# 5
VASP calculation (GGA-PBE) on a geometry-optimized Mo2PbW structure.

The energy relative to the elements comes out at 0.662 eV/atom. The value obtained for the total magnetization is 0.000 μB per cell. For the total energy, the calculation gives -8.92 eV/atom. The calculated volume comes out at 70.2 Å³/cell.

Structure (CIF):
```
data_Mo2PbW
_chemical_formula_sum 'Mo2 Pb1 W1'
_space_group_name_H-M_alt 'P 4/m m m'
_space_group_IT_number 123
_space_group_name_Hall '-P 4 2'
_cell_length_a 4.5760
_cell_length_b 4.5760
_cell_length_c 3.3509
_cell_angle_alpha 90.00
_cell_angle_beta 90.00
_cell_angle_gamma 90.00
loop_
_atom_site_label
_atom_site_type_symbol
_atom_site_fract_x
_atom_site_fract_y
_atom_site_fract_z
_atom_site_occupancy
Mo1 Mo 0.0000 0.5000 0.0000 1
Pb1 Pb 0.0000 0.0000 0.5000 1
W1 W 0.5000 0.5000 0.5000 1
```


# 6
VASP calculation (GGA-PBE) on a geometry-optimized MoPbW structure.

The calculation puts the energy above the most stable polymorph in this dataset at 81 meV/atom. The energy relative to the elements comes out at 0.716 eV/atom. The value obtained for the total magnetization is 0.000 μB per cell. For the total energy, the calculation gives -8.45 eV/atom. The calculated volume comes out at 236.8 Å³/cell.

Structure (CIF):
```
data_MoPbW
_chemical_formula_sum 'Mo4 Pb4 W4'
_space_group_name_H-M_alt 'F m m 2'
_space_group_IT_number 42
_space_group_name_Hall 'F 2 -2'
_cell_length_a 3.3179
_cell_length_b 5.0321
_cell_length_c 14.1806
_cell_angle_alpha 90.00
_cell_angle_beta 90.00
_cell_angle_gamma 90.00
loop_
_atom_site_label
_atom_site_type_symbol
_atom_site_fract_x
_atom_site_fract_y
_atom_site_fract_z
_atom_site_occupancy
Mo1 Mo 0.0000 0.0000 0.0000 1
Pb1 Pb 0.0000 0.0000 0.3185 1
W1 W 0.0000 0.0000 0.6349 1
```